Entry 1:
A plane-wave DFT calculation with PBE-GGA was carried out for an optimized crystal structure of LaPr2Cd2In2.

Cell: 5.0342 5.0342 28.1058 Å, 90.00 90.00 120.00°
Last column: nearest neighbours and their distance in Å.
Space group R-3m (No. 166, hexagonal axes)
Unique sites:
La1 0.0000 0.0000 0.0000  6 In 3.52, 6 Cd 3.53, 2 Pr 3.65
Pr1 0.0000 0.0000 0.1297  3 Cd 3.34, 4 In 3.35-3.74, 3 Pr 3.57, 1 La 3.65
Cd1 0.0000 0.0000 0.4043  3 In 2.91
In1 0.0000 0.0000 0.2626  3 Cd 2.91

Calculated values
Formation energy from the elements   -0.3197 eV/atom

Entry 2:
A plane-wave DFT calculation with PBE-GGA was carried out for an optimized crystal structure of Tm8TlNi2.

Cell: 8.5436 13.1426 5.2493 Å, 90.00 104.13 90.00°
Last column: nearest neighbours and their distance in Å.
Space group C2/m (No. 12)
Unique sites:
Tm1 0.0000 0.2479 0.0000  2 Ni 2.74
Tm2 0.1086 0.5000 0.8022  2 Ni 3.02, 4 Tm 3.10-3.31, 1 Tl 3.25
Tm3 0.2047 0.1292 0.5784  2 Ni 2.78-2.88
Tl1 0.0000 0.0000 0.0000  12 Tm 3.25-3.57
Ni1 0.0000 0.3066 0.5000  8 Tm 2.74-3.02

Calculated values
Formation energy from the elements   -0.1706 eV/atom

Entry 3:
A plane-wave DFT calculation with PBE-GGA was carried out for an optimized crystal structure of InCu6.

Cell: 8.0244 5.0140 9.6093 Å, 90.00 90.00 90.00°
Last column: nearest neighbours and their distance in Å.
Space group Pnma (No. 62)
Unique sites:
In1 0.2440 0.2500 0.0612  12 Cu 2.77-3.07
Cu1 0.0553 0.0079 0.3018  9 Cu 2.43-2.59
Cu2 0.0635 0.7500 0.0769  5 Cu 2.43-2.68
Cu3 0.1091 0.2500 0.5223  7 Cu 2.48-2.68
Cu4 0.1644 0.7500 0.8386  8 Cu 2.43-2.59
Cu5 0.1913 0.2500 0.7732  8 Cu 2.43-2.59

Calculated values
Formation energy from the elements   0.0887 eV/atom

Entry 4:
A plane-wave DFT calculation with PBE-GGA was carried out for an optimized crystal structure of TlSn2Te.

Cell: 4.1485 4.1485 7.1415 Å, 90.00 90.00 90.00°
Last column: nearest neighbours and their distance in Å.
Space group P4/mmm (No. 123)
Unique sites:
Tl1 0.0000 0.0000 0.0000  2 Te 3.57, 8 Sn 3.58
Sn1 0.5000 0.5000 0.2870  1 Sn 3.04, 4 Te 3.30
Te1 0.0000 0.0000 0.5000  8 Sn 3.30, 2 Tl 3.57

Calculated values
ΔE_f (raw)   1 meV/atom

Entry 5:
A plane-wave DFT calculation with PBE-GGA was carried out for an optimized crystal structure of TcPSe2N.

Cell: 5.0027 5.0027 3.6901 Å, 90.00 90.00 90.00°
Last column: nearest neighbours and their distance in Å.
Space group P4/mmm (No. 123)
Unique sites:
Tc1 0.0000 0.0000 0.0000  2 N 1.85
P1 0.5000 0.5000 0.5000  8 Se 3.11
Se1 0.0000 0.5000 0.0000  2 Tc 2.50
N1 0.0000 0.0000 0.5000  2 Tc 1.85

Calculated values
ΔE_f (raw)   601 meV/atom

Entry 6:
A plane-wave DFT calculation with PBE-GGA was carried out for an optimized crystal structure of Rh4WBr.

Cell: 7.2931 7.2931 7.2931 Å, 90.00 90.00 90.00°
Last column: nearest neighbours and their distance in Å.
Space group F-43m (No. 216)
Unique sites:
Rh1 0.1253 0.1253 0.1253  6 Rh 2.57-2.59
W1 0.0000 0.0000 0.5000  12 Rh 3.02, 4 Br 3.16
Br1 0.2500 0.2500 0.7500  12 Rh 3.02, 4 W 3.16

Calculated values
ΔE_f (raw)   749 meV/atom

Entry 7:
A plane-wave DFT calculation with PBE-GGA was carried out for an optimized crystal structure of Pm3P4Pd4.

Cell: 4.0859 4.1239 24.4970 Å, 90.00 90.00 90.00°
Last column: nearest neighbours and their distance in Å.
Space group Immm (No. 71)
Unique sites:
Pm1 0.0000 0.0000 0.0000  4 Pd 3.08, 8 P 3.12
Pm2 0.0000 0.5000 0.1494  6 P 3.07-3.24, 8 Pd 3.16-3.25
P1 0.0000 0.0000 0.4531  1 P 2.30, 2 Pd 2.36
P2 0.0000 0.5000 0.3092  5 Pd 2.37-2.54
Pd1 0.0000 0.0000 0.2521  4 P 2.49-2.54
Pd2 0.0000 0.5000 0.4061  3 P 2.36-2.37

Calculated values
Formation energy from the elements   -1.1192 eV/atom

Entry 8:
A plane-wave DFT calculation with PBE-GGA was carried out for an optimized crystal structure of RbNaCdI4.

Cell: 7.8900 8.4368 9.8918 Å, 90.00 106.40 90.00°
Last column: nearest neighbours and their distance in Å.
Space group P2_1/m (No. 11)
Unique sites:
Rb1 0.2193 0.2500 0.0516  6 I 3.65-3.87
Na1 0.2309 0.2500 0.5727  4 I 3.17-3.41
Cd1 0.2315 0.7500 0.3278  4 I 2.79-2.84
I1 0.0140 0.5047 0.7231  1 Cd 2.84
I2 0.4244 0.7500 0.1275  1 Cd 2.82
I3 0.4785 0.7500 0.5925  1 Cd 2.79

Calculated values
ΔE_f (raw)   -1027 meV/atom

Entry 9:
A plane-wave DFT calculation with PBE-GGA was carried out for an optimized crystal structure of Cu2TcPt.

Cell: 3.8243 3.8243 7.4752 Å, 90.00 90.00 90.00°
Last column: nearest neighbours and their distance in Å.
Space group I-4m2 (No. 119)
Unique sites:
Cu1 0.0000 0.0000 0.0000  4 Cu 2.67, 4 Pt 2.67, 4 Tc 2.70
Cu2 0.0000 0.5000 0.2500  4 Tc 2.67, 4 Cu 2.67, 4 Pt 2.70
Tc1 0.0000 0.0000 0.5000  8 Cu 2.67-2.70, 4 Pt 2.67
Pt1 0.0000 0.5000 0.7500  4 Tc 2.67, 8 Cu 2.67-2.70

Calculated values
Formation energy from the elements   0.1155 eV/atom

Entry 10:
A plane-wave DFT calculation with PBE-GGA was carried out for an optimized crystal structure of FeNiCl.

Cell: 4.0251 4.0251 2.8998 Å, 90.00 90.00 120.00°
Last column: nearest neighbours and their distance in Å.
Space group P3m1 (No. 156)
Unique sites:
Fe1 0.0000 0.0000 0.0000  3 Cl 2.34
Ni1 0.6667 0.3333 0.5176  6 Cl 2.60-2.91, 6 Fe 2.71-2.77, 2 Ni 2.90
Cl1 0.3333 0.6667 0.9164  3 Fe 2.34, 3 Ni 2.60

Calculated values
ΔE_f (raw)   495 meV/atom

Entry 11:
A plane-wave DFT calculation with PBE-GGA was carried out for an optimized crystal structure of CaCdOF2.

Cell: 4.3521 4.3521 4.3493 Å, 90.00 90.00 90.00°
Last column: nearest neighbours and their distance in Å.
Space group P4/mmm (No. 123)
Unique sites:
Ca1 0.0000 0.0000 0.0000  8 F 3.08, 4 O 3.08
Cd1 0.5000 0.5000 0.5000  2 O 2.17, 4 F 2.18
O1 0.5000 0.5000 0.0000  2 Cd 2.17
F1 0.0000 0.5000 0.5000  2 Cd 2.18

Calculated values
ΔE_f (raw)   -2095 meV/atom

Entry 12:
A plane-wave DFT calculation with PBE-GGA was carried out for an optimized crystal structure of MgNb2O4.

Cell: 10.9606 2.9645 10.0066 Å, 90.00 90.00 90.00°
Last column: nearest neighbours and their distance in Å.
Space group Pnma (No. 62)
Unique sites:
Mg1 0.1073 0.2500 0.0606  5 O 1.97-2.10
Nb1 0.0840 0.2500 0.4347  6 O 2.15-2.25
Nb2 0.1783 0.2500 0.7873  6 O 2.08-2.25
O1 0.0339 0.2500 0.6530  4 Nb 2.08-2.25
O2 0.0777 0.7500 0.9156  3 Mg 2.04-2.10, 2 Nb 2.25
O3 0.1839 0.2500 0.2384  1 Mg 1.97, 2 Nb 2.17
O4 0.2243 0.7500 0.4710  1 Mg 2.05, 3 Nb 2.13-2.17

Calculated values
ΔE_f (raw)   -2201 meV/atom